## Ac2ZnHg (GGA-PBE)

Data for a relaxed structure of Ac2ZnHg.

Unit cell a=7.9646 b=7.9646 c=7.9646 alpha=90.00 beta=90.00 gamma=90.00
Closest atoms and distances in Å follow each position.
Space group Fm-3m (No. 225)
Unique sites:
1 Ac 0.2500 0.2500 0.2500 x8  4 Hg 3.45, 4 Zn 3.45
2 Zn 0.0000 0.0000 0.0000 x4  8 Ac 3.45
3 Hg 0.0000 0.0000 0.5000 x4  8 Ac 3.45

## Properties
Fermi-level density of states ... 1.06 states/eV per atom
Excess energy over the best structure of this formula in the dataset ... 13 meV/atom